The following is a DFT calculation (GGA-PBE) of crystalline LiAc2La at its relaxed geometry.

Cell lengths 3.8218, 3.8218, 39.1544 Å; angles 90.00, 90.00, 120.00 degrees
Space group R-3m (No. 166, hexagonal axes)
Asymmetric unit:
Li 0.0000 0.0000 0.0000 x3
Ac 0.0000 0.0000 0.0883 x6
La 0.0000 0.0000 0.5000 x3

Output
Its total DFT energy (no corrections) is -42.843 eV/cell. The calculation puts the energy above the most stable polymorph in this dataset at 146 meV per atom. The calculation puts the density of states at the Fermi level at 1.177 states/eV per atom.



The following is a DFT calculation (GGA-PBE) of crystalline Li2AcLa at its relaxed geometry.

Cell lengths 3.9759, 3.9759, 7.8639 Å; angles 90.00, 90.00, 90.00 degrees
Space group P4/mmm (No. 123)
Asymmetric unit:
Li 0.0000 0.0000 0.2391 x2
Ac 0.5000 0.5000 0.5000 x1
La 0.5000 0.5000 0.0000 x1

Output
Its total DFT energy (no corrections) is -12.353 eV/cell. The calculation puts the density of states at the Fermi level at 1.644 states/eV per atom.



The following is a DFT calculation (GGA-PBE) of crystalline LiAc3La3 at its relaxed geometry.

Cell lengths 13.9988, 13.9988, 9.6194 Å; angles 90.00, 90.00, 120.00 degrees
Space group R3c (No. 161, hexagonal axes)
Asymmetric unit:
Li 0.0000 0.0000 0.0000 x6
Ac 0.0029 0.1601 0.2504 x18
La 0.0763 0.3360 0.5819 x18

Output
Its total DFT energy (no corrections) is -165.468 eV/cell. The calculation puts the density of states at the Fermi level at 1.546 states/eV per atom.



The following is a DFT calculation (GGA-PBE) of crystalline LiAc5La4 at its relaxed geometry.

Cell lengths 3.8955, 3.8955, 25.9914 Å; angles 90.00, 90.00, 90.00 degrees
Space group P4/mmm (No. 123)
Asymmetric unit:
Li 0.0000 0.0000 0.0000 x1
Ac 0.5000 0.5000 0.0841 x2
Ac 0.5000 0.5000 0.2912 x2
Ac 0.5000 0.5000 0.5000 x1
La 0.0000 0.0000 0.1872 x2
La 0.0000 0.0000 0.3959 x2

Output
Its total DFT energy (no corrections) is -41.888 eV/cell. The calculation puts the density of states at the Fermi level at 1.551 states/eV per atom.



The following is a DFT calculation (GGA-PBE) of crystalline Li2AcLa at its relaxed geometry.

Cell lengths 7.9328, 7.9328, 7.9328 Å; angles 90.00, 90.00, 90.00 degrees
Space group Fm-3m (No. 225)
Asymmetric unit:
Li 0.2500 0.2500 0.2500 x8
Ac 0.0000 0.0000 0.0000 x4
La 0.0000 0.0000 0.5000 x4

Output
Its total DFT energy (no corrections) is -49.383 eV/cell. The calculation puts the density of states at the Fermi level at 1.581 states/eV per atom.



The following is a DFT calculation (GGA-PBE) of crystalline LiAcLa at its relaxed geometry.

Cell lengths 3.7943, 3.7943, 8.6988 Å; angles 90.00, 90.00, 120.00 degrees
Space group P3m1 (No. 156)
Asymmetric unit:
Li 0.0000 0.0000 0.0000 x1
Ac 0.6667 0.3333 0.3267 x1
La 0.3333 0.6667 0.6816 x1

Output
Its total DFT energy (no corrections) is -10.610 eV/cell. The calculation puts the energy above the most stable polymorph in this dataset at 78 meV per atom. The calculation puts the density of states at the Fermi level at 1.182 states/eV per atom.



The following is a DFT calculation (GGA-PBE) of crystalline LiAc4La5 at its relaxed geometry.

Cell lengths 6.4659, 7.2967, 8.9152 Å; angles 101.99, 107.29, 93.87 degrees
Space group P-1 (No. 2)
Asymmetric unit:
Li 0.0000 0.0000 0.0000 x1
Ac 0.0651 0.1695 0.6989 x2
Ac 0.3209 0.5266 0.1276 x2
La 0.0947 0.6588 0.6933 x2
La 0.4430 0.2114 0.4318 x2
La 0.5000 0.0000 0.0000 x1

Output
Its total DFT energy (no corrections) is -41.771 eV/cell. The calculation puts the density of states at the Fermi level at 1.727 states/eV per atom.



The following is a DFT calculation (GGA-PBE) of crystalline LiAc2La at its relaxed geometry.

Cell lengths 8.3907, 8.3907, 8.3907 Å; angles 90.00, 90.00, 90.00 degrees
Space group Fm-3m (No. 225)
Asymmetric unit:
Li 0.0000 0.0000 0.0000 x4
Ac 0.2500 0.2500 0.2500 x8
La 0.0000 0.0000 0.5000 x4

Output
Its total DFT energy (no corrections) is -57.649 eV/cell. The calculation puts the energy above the most stable polymorph in this dataset at 113 meV per atom. The calculation puts the density of states at the Fermi level at 1.658 states/eV per atom.



Question: density of states at the Fermi level of number 2 (Li2AcLa)?
Answer: 1.644 states/eV per atom



Question: What is the density of states at the Fermi level in the seventh record?
Answer: 1.727 states/eV per atom



Question: total DFT energy (no corrections) of number 2 (Li2AcLa)?
Answer: -12.353 eV/cell